(1)
# Nd3MgC

An optimized crystal structure of Nd3MgC (PBE, the Alexandria database).

* distance to the lowest polymorph of the same formula: 0.004 eV/atom
* theoretical density: 5619 kg/m³

The structure in CIF format:
```
data_Nd3MgC
_chemical_formula_sum 'Nd3 Mg1 C1'
_cell_length_a 5.175
_cell_length_b 5.175
_cell_length_c 5.175
_cell_angle_alpha 90.00
_cell_angle_beta 90.00
_cell_angle_gamma 90.00
_space_group_name_H-M_alt 'P m -3 m'
_space_group_IT_number 221
_space_group_name_Hall '-P 4 2 3'
loop_
_atom_site_label
_atom_site_type_symbol
_atom_site_fract_x
_atom_site_fract_y
_atom_site_fract_z
_atom_site_occupancy
Nd1 Nd 0.000 0.000 0.500 1
Mg1 Mg 0.500 0.500 0.500 1
C1 C 0.000 0.000 0.000 1
```

---

(2)
# SrScTa3

An optimized crystal structure of SrScTa3 (PBE, the Alexandria database).

* distance to the lowest polymorph of the same formula: 0.000 eV/atom
* theoretical density: 8993 kg/m³

The structure in CIF format:
```
data_SrScTa3
_chemical_formula_sum 'Sr1 Sc1 Ta3'
_cell_length_a 4.996
_cell_length_b 4.996
_cell_length_c 4.996
_cell_angle_alpha 90.00
_cell_angle_beta 90.00
_cell_angle_gamma 90.00
_space_group_name_H-M_alt 'P m -3 m'
_space_group_IT_number 221
_space_group_name_Hall '-P 4 2 3'
loop_
_atom_site_label
_atom_site_type_symbol
_atom_site_fract_x
_atom_site_fract_y
_atom_site_fract_z
_atom_site_occupancy
Sr1 Sr 0.000 0.000 0.000 1
Sc1 Sc 0.500 0.500 0.500 1
Ta1 Ta 0.000 0.500 0.500 1
```

---

(3)
# BaP2RuS

An optimized crystal structure of BaP2RuS (PBE, the Alexandria database).

* distance to the lowest polymorph of the same formula: 2.557 eV/atom
* theoretical density: 3412 kg/m³
* ΔE_f (raw): 2.11 eV per atom

The structure in CIF format:
```
data_BaP2RuS
_chemical_formula_sum 'Ba1 P2 Ru1 S1'
_cell_length_a 5.428
_cell_length_b 5.428
_cell_length_c 5.490
_cell_angle_alpha 90.00
_cell_angle_beta 90.00
_cell_angle_gamma 90.00
_space_group_name_H-M_alt 'P 4/m m m'
_space_group_IT_number 123
_space_group_name_Hall '-P 4 2'
loop_
_atom_site_label
_atom_site_type_symbol
_atom_site_fract_x
_atom_site_fract_y
_atom_site_fract_z
_atom_site_occupancy
Ba1 Ba 0.000 0.000 0.000 1
P1 P 0.000 0.500 0.000 1
Ru1 Ru 0.500 0.500 0.500 1
S1 S 0.000 0.000 0.500 1
```

---

(4)
# Nd2ErSe

An optimized crystal structure of Nd2ErSe (PBE, the Alexandria database).

* theoretical density: 6966 kg/m³
* ΔE_f (raw): -0.76 eV per atom

The structure in CIF format:
```
data_Nd2ErSe
_chemical_formula_sum 'Nd6 Er3 Se3'
_cell_length_a 3.8985
_cell_length_b 3.8985
_cell_length_c 29.0517
_cell_angle_alpha 90.00
_cell_angle_beta 90.00
_cell_angle_gamma 120.00
_space_group_name_H-M_alt 'R -3 m'
_space_group_IT_number 166
_space_group_name_Hall '-R 3 2"'
loop_
_atom_site_label
_atom_site_type_symbol
_atom_site_fract_x
_atom_site_fract_y
_atom_site_fract_z
_atom_site_occupancy
Nd1 Nd 0.0000 0.0000 0.2334 1
Er1 Er 0.0000 0.0000 0.0000 1
Se1 Se 0.0000 0.0000 0.5000 1
```

---

The records above yield uncorrected energy values of -25.347 -35.054 -15.588 -20.604 eV/f.u., respectively.